{
  "formula": "Be2NbAu",
  "functional": "PBE-GGA",
  "state": "relaxed",
  "rho_g_cm3": 8.95,
  "volume_a3_per_atom": 14.29,
  "e_tot_ev_per_atom": -4.920,
  "crystal_system": "cubic",
  "lattice": [[0.000, 3.057, 3.057], [3.057, 0.000, 3.057], [3.057, 3.057, 0.000]],
  "species": ["Be", "Be", "Nb", "Au"],
  "frac_coords": [[0.000, 0.000, 0.000], [0.250, 0.250, 0.250], [0.500, 0.500, 0.500], [0.750, 0.750, 0.750]]
}